First-principles (PBE) data for an optimized crystal structure of YMgZn, as listed in OQMD via LeMat-Bulk.

Space group = No. 156
Energy above the lowest structure with this stoichiometry = 0.170 eV per atom
DFT total energy = -3.210 eV/atom
Magnetic moment = 0.0 μB per formula unit

Lattice parameters (Å, degrees): 5.0117 5.0117 9.2221 90.00 90.00 120.00
Positions (direct):
Y 0.0000 0.0000 0.0000
Y 0.3333 0.6667 0.1884
Y 0.6667 0.3333 0.5848
Mg 0.3333 0.6667 0.8058
Mg 0.6667 0.3333 0.2524
Mg 0.6667 0.3333 0.9253
Zn 0.0000 0.0000 0.3549
Zn 0.0000 0.0000 0.6791
Zn 0.3333 0.6667 0.4987